Record 1
# Nd6GeSb2Te3

A relaxed structure of Nd6GeSb2Te3 (GGA-PBE, the Alexandria database).

abc: 4.471 9.010 10.058
angles: 103.26 102.84 90.00
Fractional coordinates of all 12 atoms:
Nd 0.344 0.917 0.687
Nd 0.668 0.578 0.335
Nd 0.656 0.083 0.313
Nd 0.000 0.228 0.001
Nd 0.000 0.772 0.999
Nd 0.332 0.422 0.665
Ge 0.500 0.000 0.000
Sb 0.834 0.667 0.667
Sb 0.166 0.333 0.333
Te 0.500 0.500 0.000
Te 0.830 0.165 0.661
Te 0.170 0.835 0.339

Summary:
**Crystal system**: monoclinic
**Energy relative to the elements, uncorrected**: -1317 meV per atom
**Space group**: C2/m, No. 12


Record 2
# Ce2ZnSi2Ir5

A relaxed structure of Ce2ZnSi2Ir5 (GGA-PBE, the Alexandria database).

abc: 3.576 9.748 9.748
angles: 90.00 90.00 90.00
Each line ends with the local moment (μB).
Fractional coordinates of all 20 atoms:
Ce 0.000 0.677 0.177  0.44
Ce 0.000 0.323 0.823  0.44
Ce 0.000 0.177 0.323  0.44
Ce 0.000 0.823 0.677  0.44
Zn 0.000 0.000 0.000  0.00
Zn 0.000 0.500 0.500  0.00
Si 0.000 0.123 0.623  0.01
Si 0.000 0.877 0.377  0.01
Si 0.000 0.623 0.877  0.01
Si 0.000 0.377 0.123  0.01
Ir 0.500 0.213 0.066  -0.01
Ir 0.500 0.787 0.934  -0.01
Ir 0.500 0.066 0.787  -0.01
Ir 0.500 0.713 0.434  -0.01
Ir 0.500 0.934 0.213  -0.01
Ir 0.500 0.287 0.566  -0.01
Ir 0.500 0.566 0.713  -0.01
Ir 0.500 0.434 0.287  -0.01
Ir 0.500 0.500 0.000  -0.02
Ir 0.500 0.000 0.500  -0.02

Summary:
**Crystal system**: tetragonal
**Energy relative to the elements, uncorrected**: -653 meV per atom
**Space group**: P4/mbm, No. 127


Record 3
# MgZn3Au6

A relaxed structure of MgZn3Au6 (GGA-PBE, the Alexandria database).

abc: 4.243 8.654 9.293
angles: 95.73 90.00 90.00
Fractional coordinates of all 20 atoms:
Mg 0.250 0.938 0.610
Mg 0.750 0.062 0.390
Zn 0.250 0.555 0.399
Zn 0.750 0.445 0.601
Zn 0.250 0.342 0.811
Zn 0.750 0.658 0.189
Zn 0.250 0.753 0.979
Zn 0.750 0.247 0.021
Au 0.250 0.472 0.102
Au 0.750 0.528 0.898
Au 0.250 0.162 0.212
Au 0.750 0.838 0.788
Au 0.250 0.618 0.690
Au 0.750 0.382 0.310
Au 0.250 0.254 0.518
Au 0.750 0.746 0.482
Au 0.250 0.847 0.294
Au 0.750 0.153 0.706
Au 0.250 0.061 0.907
Au 0.750 0.939 0.093

Summary:
**ΔH_f (0 K)**: -0.27 eV/atom
**Crystal system**: monoclinic
**Space group**: P2_1/m, No. 11


Record 4
# NdEr3Ir8

A relaxed structure of NdEr3Ir8 (GGA-PBE, the Alexandria database).

abc: 5.367 5.367 9.291
angles: 73.21 73.21 60.00
Fractional coordinates of all 12 atoms:
Nd 0.875 0.875 0.374
Er 0.375 0.375 0.876
Er 0.001 0.001 0.998
Er 0.499 0.499 0.502
Ir 0.939 0.438 0.184
Ir 0.435 0.937 0.690
Ir 0.438 0.438 0.184
Ir 0.937 0.937 0.690
Ir 0.187 0.187 0.438
Ir 0.688 0.688 0.937
Ir 0.438 0.939 0.184
Ir 0.937 0.435 0.690

Summary:
**ΔH_f (0 K)**: -0.79 eV/atom
**Crystal system**: trigonal
**Space group**: R3m, No. 160


Record 5
# Dy2CdBi

A relaxed structure of Dy2CdBi (GGA-PBE, the Alexandria database).

abc: 5.393 5.393 5.393
angles: 60.00 60.00 60.00
Fractional coordinates of all 4 atoms:
Cd 0.500 0.500 0.500
Bi 0.000 0.000 0.000
Dy 0.250 0.250 0.250
Dy 0.750 0.750 0.750

Summary:
**ΔH_f (0 K)**: -0.41 eV/atom
**Crystal system**: cubic
**Space group**: Fm-3m, No. 225


Record 6
# CsSnSe2N

A relaxed structure of CsSnSe2N (GGA-PBE, the Alexandria database).

abc: 5.971 5.971 4.475
angles: 90.00 90.00 90.00
Each line ends with the local moment (μB).
Fractional coordinates of all 5 atoms:
Cs 0.000 0.000 0.000  0.08
Sn 0.500 0.500 0.500  -0.03
Se 0.000 0.500 0.000  0.22
Se 0.500 0.000 0.000  0.22
N 0.000 0.000 0.500  0.74

Summary:
**Crystal system**: tetragonal
**Energy relative to the elements, uncorrected**: 1449 meV per atom
**Space group**: P4/mmm, No. 123


Record 7
# MgTaSi3

A relaxed structure of MgTaSi3 (GGA-PBE, the Alexandria database).

abc: 4.900 4.900 4.900
angles: 90.00 90.00 90.00
Fractional coordinates of all 5 atoms:
Si 0.000 0.500 0.000
Si 0.000 0.000 0.500
Si 0.500 0.000 0.000
Mg 0.500 0.500 0.500
Ta 0.000 0.000 0.000

Summary:
**Crystal system**: cubic
**Energy relative to the elements, uncorrected**: 572 meV per atom
**Space group**: Pm-3m, No. 221


| no. | mass density (g/cm3) |
| --- | --- |
| 1 | 6.8 |
| 2 | 13.3 |
| 3 | 13.7 |
| 4 | 16.6 |
| 5 | 9.7 |
| 6 | 4.4 |
| 7 | 4.1 |